Density functional theory data (PBE) for a relaxed structure of ThB3Os3.

Energy relative to the elements   -211.8 meV/atom
Space-group type   No. 11
Total moment   0.00 μB per cell

Cell lengths 3.7666, 7.7619, 7.7671 Å; angles 122.32, 90.00, 90.00 degrees
Positions (direct):
Th  0.7500  0.3780  0.7355
Th  0.2500  0.6220  0.2645
B  0.7500  0.9651  0.4037
B  0.7500  0.2799  0.0098
B  0.7500  0.5887  0.5302
B  0.2500  0.0349  0.5963
B  0.2500  0.7201  0.9902
B  0.2500  0.4113  0.4698
Os  0.7500  0.8593  0.0675
Os  0.7500  0.2826  0.2714
Os  0.7500  0.9073  0.6445
Os  0.2500  0.1407  0.9325
Os  0.2500  0.7174  0.7286
Os  0.2500  0.0927  0.3555

=====

Density functional theory data (PBE) for a relaxed structure of Th2B5Os.

Energy relative to the elements   -362.1 meV/atom
Space-group type   No. 107
Total moment   0.00 μB per cell

Cell lengths 5.4284, 5.4284, 5.4284 Å; angles 85.59, 122.58, 122.58 degrees
Positions (direct):
Th  0.5000  0.2385  0.7385
Th  0.5000  0.7385  0.2385
B  0.3523  0.6560  0.6560
B  0.0000  0.6560  0.3037
B  0.0000  0.3037  0.6560
B  0.6477  0.3037  0.3037
B  0.0000  0.3222  0.3222
Os  0.0000  0.0036  0.0036

=====

Density functional theory data (PBE) for a relaxed structure of Th3B7Os.

Energy relative to the elements   -418.3 meV/atom
Space-group type   No. 63
Total moment   0.00 μB per cell

Cell lengths 3.6387, 8.3841, 9.7258 Å; angles 90.00, 90.00, 102.53 degrees
Positions (direct):
Th  0.1052  0.2105  0.4393
Th  0.8948  0.7895  0.5607
Th  0.2481  0.4961  0.7500
Th  0.7519  0.5039  0.2500
Th  0.1052  0.2105  0.0607
Th  0.8948  0.7895  0.9393
B  0.4637  0.9274  0.7500
B  0.5363  0.0726  0.2500
B  0.4756  0.9512  0.3994
B  0.5244  0.0488  0.6006
B  0.5244  0.0488  0.8994
B  0.4756  0.9512  0.1006
B  0.3670  0.7340  0.3455
B  0.6330  0.2660  0.6545
B  0.2758  0.5517  0.4663
B  0.7242  0.4483  0.5337
B  0.7242  0.4483  0.9663
B  0.2758  0.5517  0.0337
B  0.3670  0.7340  0.1545
B  0.6330  0.2660  0.8455
Os  0.9454  0.8908  0.2500
Os  0.0546  0.1092  0.7500

=====

Density functional theory data (PBE) for a relaxed structure of Th3B4Os4.

Energy relative to the elements   -290.2 meV/atom
Space-group type   No. 2
Total moment   0.00 μB per cell

Cell lengths 4.3233, 3.6425, 11.5700 Å; angles 80.94, 88.14, 90.11 degrees
Positions (direct):
Th  0.1339  0.6482  0.7030
Th  0.8662  0.3518  0.2970
Th  0.0000  0.0000  0.0000
B  0.6369  0.1126  0.7742
B  0.1687  0.2433  0.5104
B  0.8313  0.7568  0.4896
B  0.3631  0.8875  0.2258
Os  0.5927  0.5588  0.8810
Os  0.4073  0.4412  0.1190
Os  0.3416  0.7871  0.4244
Os  0.6585  0.2129  0.5756

=====

Density functional theory data (PBE) for a relaxed structure of ThB2Os2.

Energy relative to the elements   -514.6 meV/atom
Space-group type   No. 70
Total moment   0.00 μB per cell

Cell lengths 6.8179, 6.0594, 5.6319 Å; angles 71.24, 57.30, 51.46 degrees
Positions (direct):
Th  0.0000  0.0000  0.0000
Th  0.2500  0.2500  0.2500
B  0.3159  0.6841  0.3159
B  0.6841  0.3159  0.6841
B  0.5659  0.9341  0.5659
B  0.9341  0.5659  0.9341
Os  0.6373  0.6373  0.3627
Os  0.3627  0.3627  0.6373
Os  0.6127  0.6127  0.8873
Os  0.8873  0.8873  0.6127

=====

Density functional theory data (PBE) for a relaxed structure of ThBOs2.

Energy relative to the elements   143.9 meV/atom
Space-group type   No. 166
Total moment   0.00 μB per cell

Cell lengths 3.9211, 3.9211, 5.7897 Å; angles 70.21, 70.21, 60.00 degrees
Positions (direct):
B  0.0000  0.0000  0.0000
Os  0.7038  0.7038  0.8886
Os  0.2962  0.2962  0.1114
Th  0.5000  0.5000  0.5000

=====

Density functional theory data (PBE) for a relaxed structure of Th2B10Os.

Energy relative to the elements   -574.4 meV/atom
Space-group type   No. 55
Total moment   0.00 μB per cell

Cell lengths 4.2131, 5.7458, 11.4850 Å; angles 90.00, 90.00, 90.00 degrees
Positions (direct):
Th  0.5000  0.2835  0.8687
Th  0.5000  0.7165  0.1313
Th  0.5000  0.7835  0.6313
Th  0.5000  0.2165  0.3687
B  0.0000  0.1181  0.5428
B  0.0000  0.8819  0.4572
B  0.0000  0.6181  0.9572
B  0.0000  0.3819  0.0428
B  0.0000  0.1315  0.6969
B  0.0000  0.8685  0.3031
B  0.3010  0.2213  0.1192
B  0.3010  0.7787  0.8808
B  0.6990  0.7213  0.3808
B  0.6990  0.2787  0.6192
B  0.6990  0.7787  0.8808
B  0.6990  0.2213  0.1192
B  0.3010  0.2787  0.6192
B  0.3010  0.7213  0.3808
B  0.0000  0.0590  0.1931
B  0.0000  0.9410  0.8069
B  0.0000  0.5590  0.3069
B  0.0000  0.4410  0.6931
B  0.0000  0.3685  0.1969
B  0.0000  0.6315  0.8031
Os  0.0000  0.5000  0.5000
Os  0.0000  0.0000  0.0000

=====

Density functional theory data (PBE) for a relaxed structure of Th2B2Os.

Energy relative to the elements   -232.8 meV/atom
Space-group type   No. 12
Total moment   0.00 μB per cell

Cell lengths 3.9036, 5.6222, 9.1087 Å; angles 80.04, 77.63, 69.69 degrees
Positions (direct):
Th  0.7070  0.2269  0.3590
Th  0.8875  0.3212  0.9039
Th  0.2930  0.7731  0.6410
Th  0.1125  0.6788  0.0961
B  0.0229  0.3793  0.5748
B  0.5747  0.9422  0.9085
B  0.9771  0.6207  0.4252
B  0.4253  0.0578  0.0915
Os  0.5597  0.1906  0.6900
Os  0.4403  0.8094  0.3100